Record 1
{
  "formula": "BaHg2BiPt",
  "functional": "PBE-GGA",
  "state": "optimized geometry",
  "cell": [[-1.858, -4.624, -0.412], [4.825, -1.919, -0.222], [-1.432, 2.753, 5.913]],
  "species": ["Pt", "Bi", "Hg", "Hg", "Ba"],
  "frac_coords": [[0.801, 0.801, 0.603], [0.199, 0.699, 0.398], [0.717, 0.217, 0.433], [0.043, 0.043, 0.087], [0.452, 0.452, 0.903]],
  "vol_a3_per_cell": 146.1,
  "m_tot_mub_per_fu": 0.000,
  "spacegroup": "Imm2, No. 44",
  "final_energy_ev_per_atom": -2.948,
  "e_above_lowest_polymorph_mev_per_atom": 0,
  "ef_ev_per_atom": -0.4586
}

---

Record 2
{
  "formula": "VSn4Ge2",
  "functional": "PBE-GGA",
  "state": "optimized geometry",
  "cell": [[-3.071, 4.127, 0.736], [-4.164, -2.896, -1.130], [-4.283, -1.103, 6.658]],
  "species": ["Sn", "Ge", "Sn", "Ge", "Sn", "V", "Sn"],
  "frac_coords": [[0.188, 0.188, 0.624], [0.623, 0.623, 0.754], [0.000, 0.500, 0.000], [0.377, 0.377, 0.246], [0.500, 0.000, 0.000], [0.000, 0.000, 0.000], [0.812, 0.812, 0.376]],
  "vol_a3_per_cell": 191.7,
  "m_tot_mub_per_fu": 0.788,
  "spacegroup": "I4/mmm, No. 139",
  "final_energy_ev_per_atom": -4.455,
  "ef_ev_per_atom": 0.4547
}

---

Record 3
{
  "formula": "TiAl2Ir2",
  "functional": "PBE-GGA",
  "state": "optimized geometry",
  "cell": [[-3.367, -4.533, -4.573], [6.436, -2.531, -2.230], [-0.080, -2.017, 2.058]],
  "species": ["Ti", "Ir", "Ir", "Al", "Ti", "Ir", "Al", "Ir", "Al", "Al"],
  "frac_coords": [[0.000, 0.000, 0.000], [0.650, 0.150, 0.000], [0.150, 0.350, 0.000], [0.148, 0.648, 0.500], [0.500, 0.500, 0.000], [0.850, 0.650, 0.000], [0.352, 0.148, 0.500], [0.350, 0.850, 0.000], [0.852, 0.352, 0.500], [0.648, 0.852, 0.500]],
  "vol_a3_per_cell": 152.2,
  "m_tot_mub_per_fu": 0.000,
  "spacegroup": "P4/mbm, No. 127",
  "final_energy_ev_per_atom": -7.325,
  "e_above_lowest_polymorph_mev_per_atom": 35,
  "ef_ev_per_atom": -0.7049
}

---

Record 4
{
  "formula": "Nd2YTh3S6",
  "functional": "PBE-GGA",
  "state": "optimized geometry",
  "cell": [[6.922, 0.022, 0.009], [-3.440, 6.006, 0.009], [-1.152, -1.994, 6.662]],
  "species": ["Y", "Th", "Nd", "S", "Th", "Th", "S", "S", "S", "Nd", "S", "S"],
  "frac_coords": [[0.000, 0.000, 0.000], [0.829, 0.171, 0.500], [0.334, 0.666, 0.000], [0.594, 0.919, 0.757], [0.500, 0.500, 0.500], [0.171, 0.829, 0.500], [0.919, 0.594, 0.757], [0.758, 0.758, 0.249], [0.406, 0.081, 0.243], [0.666, 0.334, 0.000], [0.081, 0.406, 0.243], [0.242, 0.242, 0.751]],
  "vol_a3_per_cell": 277.7,
  "m_tot_mub_per_fu": 0.000,
  "spacegroup": "C2/m, No. 12",
  "final_energy_ev_per_atom": -7.163
}